*one*
A plane-wave DFT calculation with GGA-PBEsol was carried out for Ca2ScNi after structural relaxation.

Calculated values
space-group type = Cmmm
calculated density = 3.09 Mg/m³

Cell lengths 3.348, 3.348, 8.821 Å; angles 90.00, 90.00, 89.83 degrees
Last column: magnetic moment on the atom in μB.
Fractional coordinates of all 4 atoms:
Ca: 0.000 0.000 0.311  0.01
Ca: 0.000 0.000 0.689  0.01
Sc: 0.500 0.500 0.000  0.27
Ni: 0.500 0.500 0.500  0.01


*two*
A plane-wave DFT calculation with GGA-PBEsol was carried out for Ca2ScNi after structural relaxation.

Calculated values
space-group type = P4mm
calculated density = 3.01 Mg/m³

Cell lengths 3.366, 3.366, 8.962 Å; angles 90.00, 90.00, 90.00 degrees
Fractional coordinates of all 4 atoms:
Ni: 0.000 0.000 0.540
Ca: 0.000 0.000 0.968
Ca: 0.500 0.500 0.324
Sc: 0.500 0.500 0.668


What should be chosen as the least stable of them? Choose *one*.


*one*
A plane-wave DFT calculation with GGA-PBEsol was carried out for Ca2ScNi after structural relaxation.

Calculated values
space-group type = I4/mmm
calculated density = 3.28 Mg/m³

Cell lengths 4.297, 4.297, 5.890 Å; angles 111.39, 111.39, 90.00 degrees
Fractional coordinates of all 4 atoms:
Sc: 0.000 0.000 0.000
Ca: 0.250 0.750 0.500
Ca: 0.750 0.250 0.500
Ni: 0.500 0.500 0.000


*two*
A plane-wave DFT calculation with GGA-PBEsol was carried out for Ca2ScNi after structural relaxation.

Calculated values
space-group type = Imm2
calculated density = 2.98 Mg/m³

Cell lengths 3.435, 5.488, 6.319 Å; angles 115.73, 105.77, 90.00 degrees
Fractional coordinates of all 4 atoms:
Ni: 0.518 0.518 0.036
Sc: 0.177 0.677 0.355
Ca: 0.996 0.996 0.993
Ca: 0.808 0.308 0.616


What should be chosen as the least stable of them? Choose *one*.


*one*
A plane-wave DFT calculation with GGA-PBEsol was carried out for CaSc2Ni after structural relaxation.

Calculated values
space-group type = Pmmm
calculated density = 3.77 Mg/m³

Cell lengths 3.705, 4.723, 4.752 Å; angles 90.00, 90.00, 90.00 degrees
Fractional coordinates of all 4 atoms:
Sc: 0.500 0.500 0.000
Sc: 0.000 0.000 0.000
Ni: 0.000 0.500 0.500
Ca: 0.500 0.000 0.500


*two*
A plane-wave DFT calculation with GGA-PBEsol was carried out for CaSc2Ni after structural relaxation.

Calculated values
space-group type = I-4m2
calculated density = 3.78 Mg/m³

Cell lengths 4.144, 4.144, 5.652 Å; angles 111.50, 111.50, 90.00 degrees
Fractional coordinates of all 4 atoms:
Ni: 0.250 0.750 0.500
Sc: 0.000 0.000 0.000
Sc: 0.750 0.250 0.500
Ca: 0.500 0.500 0.000


What should be chosen as the least stable of them? Choose *two*.


*one*
A plane-wave DFT calculation with GGA-PBEsol was carried out for SrCa2Ni after structural relaxation.

Calculated values
space-group type = Fm-3m
calculated density = 3.38 Mg/m³

Cell lengths 5.399, 5.399, 5.399 Å; angles 60.00, 60.00, 60.00 degrees
Fractional coordinates of all 4 atoms:
Ca: 0.250 0.250 0.250
Ca: 0.750 0.750 0.750
Sr: 0.500 0.500 0.500
Ni: 0.000 0.000 0.000


*two*
A plane-wave DFT calculation with GGA-PBEsol was carried out for SrCa2Ni after structural relaxation.

Calculated values
space-group type = P4mm
calculated density = 3.04 Mg/m³

Cell lengths 3.591, 3.591, 9.609 Å; angles 90.00, 90.00, 90.00 degrees
Fractional coordinates of all 4 atoms:
Sr: 0.000 0.000 0.674
Ni: 0.500 0.500 0.485
Ca: 0.500 0.500 0.015
Ca: 0.000 0.000 0.326


What should be chosen as the least stable of them? Choose *one*.


*one*
A plane-wave DFT calculation with GGA-PBEsol was carried out for Sr2CaNi after structural relaxation.

Calculated values
space-group type = P4/mmm
calculated density = 3.41 Mg/m³

Cell lengths 3.677, 3.677, 9.865 Å; angles 89.99, 90.00, 90.00 degrees
Fractional coordinates of all 4 atoms:
Sr: 0.000 0.000 0.175
Sr: 0.000 0.000 0.825
Ca: 0.500 0.500 0.500
Ni: 0.500 0.500 0.000


*two*
A plane-wave DFT calculation with GGA-PBEsol was carried out for Sr2CaNi after structural relaxation.

Calculated values
space-group type = P4/mmm
calculated density = 3.60 Mg/m³

Cell lengths 4.679, 5.197, 5.197 Å; angles 89.97, 90.00, 90.00 degrees
Fractional coordinates of all 4 atoms:
Ca: 0.500 0.000 0.000
Sr: 0.000 0.500 0.000
Sr: 0.000 0.000 0.500
Ni: 0.500 0.500 0.500


What should be chosen as the least stable of them? Choose *two*.


*one*
A plane-wave DFT calculation with GGA-PBEsol was carried out for CaTaNi2 after structural relaxation.

Calculated values
space-group type = Imm2
calculated density = 9.03 Mg/m³

Cell lengths 2.737, 4.516, 5.688 Å; angles 113.39, 103.92, 90.00 degrees
Fractional coordinates of all 4 atoms:
Ni: 0.034 0.034 0.068
Ni: 0.737 0.237 0.475
Ca: 0.261 0.761 0.522
Ta: 0.467 0.467 0.934


*two*
A plane-wave DFT calculation with GGA-PBEsol was carried out for CaTaNi2 after structural relaxation.

Calculated values
space-group type = P4mm
calculated density = 8.26 Mg/m³

Cell lengths 3.161, 3.161, 6.808 Å; angles 90.00, 90.00, 90.00 degrees
Last column: magnetic moment on the atom in μB.
Fractional coordinates of all 4 atoms:
Ni: 0.500 0.500 0.240  0.13
Ni: 0.000 0.000 0.062  0.01
Ca: 0.500 0.500 0.786  0.02
Ta: 0.000 0.000 0.411  0.24


What should be chosen as the least stable of them? Choose *two*.


*one*
A plane-wave DFT calculation with GGA-PBEsol was carried out for Ca2TaNi after structural relaxation.

Calculated values
space-group type = Immm
calculated density = 5.24 Mg/m³

Cell lengths 3.190, 3.771, 8.772 Å; angles 102.41, 100.48, 90.00 degrees
Fractional coordinates of all 4 atoms:
Ni: 0.500 0.000 0.000
Ta: 0.000 0.500 0.000
Ca: 0.846 0.846 0.692
Ca: 0.154 0.154 0.308


*two*
A plane-wave DFT calculation with GGA-PBEsol was carried out for Ca2TaNi after structural relaxation.

Calculated values
space-group type = P2/m
calculated density = 6.52 Mg/m³

Cell lengths 3.046, 4.710, 5.765 Å; angles 90.00, 100.09, 90.00 degrees
Fractional coordinates of all 4 atoms:
Ta: 0.500 0.500 0.500
Ca: 0.072 0.000 0.762
Ca: 0.928 0.000 0.238
Ni: 0.500 0.500 0.000


What should be chosen as the least stable of them? Choose *two*.


*one*
A plane-wave DFT calculation with GGA-PBEsol was carried out for CaTcNi2 after structural relaxation.

Calculated values
space-group type = P4mm
calculated density = 7.41 Mg/m³

Cell lengths 2.731, 2.731, 7.679 Å; angles 90.00, 90.00, 90.00 degrees
Fractional coordinates of all 4 atoms:
Ca: 0.500 0.500 0.768
Ni: 0.000 0.000 0.048
Ni: 0.500 0.500 0.237
Tc: 0.000 0.000 0.447


*two*
A plane-wave DFT calculation with GGA-PBEsol was carried out for CaTcNi2 after structural relaxation.

Calculated values
space-group type = Cmmm
calculated density = 7.52 Mg/m³

Cell lengths 2.662, 4.603, 4.603 Å; angles 90.26, 90.00, 90.00 degrees
Last column: magnetic moment on the atom in μB.
Fractional coordinates of all 4 atoms:
Ni: 0.000 0.000 0.500  0.21
Ni: 0.000 0.500 0.000  0.21
Ca: 0.500 0.000 0.000  -0.02
Tc: 0.500 0.500 0.500  0.62


What should be chosen as the least stable of them? Choose *one*.